Entry 1:
A relaxed structure of MgTi2W. Source: the Alexandria database, functional GGA-PBE.

Unit cell a=3.876 b=3.876 c=19.224 alpha=90.00 beta=90.00 gamma=90.00
Space group I-42d (No. 122)
Inequivalent atoms, fractional coordinates:
Mg: 0.000 0.000 0.000 [4 per cell]
Ti: 0.233 0.250 0.625 [8 per cell]
W: 0.000 0.000 0.500 [4 per cell]

Properties
Energy of formation (eV per formula unit): 3.107
Size of the total moment (μB/f.u.): 0.00
DOS(E_F) (states/eV/f.u.): 3.4

Entry 2:
A relaxed structure of K2BaNaPt. Source: the Alexandria database, functional GGA-PBE.

Unit cell a=6.399 b=6.399 c=6.080 alpha=90.00 beta=90.00 gamma=90.00
Space group P4/mmm (No. 123)
Inequivalent atoms, fractional coordinates:
K: 0.000 0.500 0.000 [2 per cell]
Ba: 0.000 0.000 0.500 [1 per cell]
Na: 0.500 0.500 0.500 [1 per cell]
Pt: 0.000 0.000 0.000 [1 per cell]

Properties
Energy of formation (eV per formula unit): -0.480
Size of the total moment (μB/f.u.): 0.36
DOS(E_F) (states/eV/f.u.): 4.0